VASP calculation (PBE) on a relaxed structure of Ba12Ag5Hg3.

Energy of formation from the pure elements: -0.089 eV/atom
Magnetic moment: 0.00 μB/atom

Lattice parameters (Å, degrees): 17.376 17.376 17.376 109.47 109.47 109.47
Fractional positions:
1 Ba 0.045 0.219 0.127
2 Ba 0.045 0.326 0.918
3 Ba 0.082 0.627 0.407
4 Ba 0.082 0.955 0.674
5 Ba 0.093 0.719 0.674
6 Ba 0.093 0.873 0.418
7 Ba 0.127 0.045 0.219
8 Ba 0.127 0.582 0.907
9 Ba 0.174 0.219 0.593
10 Ba 0.174 0.455 0.582
11 Ba 0.219 0.127 0.045
12 Ba 0.219 0.593 0.174
13 Ba 0.281 0.326 0.907
14 Ba 0.281 0.455 0.373
15 Ba 0.326 0.907 0.281
16 Ba 0.326 0.918 0.045
17 Ba 0.373 0.281 0.455
18 Ba 0.373 0.593 0.918
19 Ba 0.407 0.082 0.627
20 Ba 0.407 0.826 0.781
21 Ba 0.418 0.093 0.873
22 Ba 0.418 0.826 0.545
23 Ba 0.455 0.373 0.281
24 Ba 0.455 0.582 0.174
25 Ba 0.545 0.418 0.826
26 Ba 0.545 0.627 0.719
27 Ba 0.582 0.174 0.455
28 Ba 0.582 0.907 0.127
29 Ba 0.593 0.174 0.219
30 Ba 0.593 0.918 0.373
31 Ba 0.627 0.407 0.082
32 Ba 0.627 0.719 0.545
33 Ba 0.674 0.082 0.955
34 Ba 0.674 0.093 0.719
35 Ba 0.719 0.545 0.627
36 Ba 0.719 0.674 0.093
37 Ba 0.781 0.407 0.826
38 Ba 0.781 0.873 0.955
39 Ba 0.826 0.545 0.418
40 Ba 0.826 0.781 0.407
41 Ba 0.873 0.418 0.093
42 Ba 0.873 0.955 0.781
43 Ba 0.907 0.127 0.582
44 Ba 0.907 0.281 0.326
45 Ba 0.918 0.045 0.326
46 Ba 0.918 0.373 0.593
47 Ba 0.955 0.674 0.082
48 Ba 0.955 0.781 0.873
49 Ag 0.000 0.000 0.000
50 Ag 0.000 0.000 0.500
51 Ag 0.000 0.500 0.000
52 Ag 0.000 0.500 0.500
53 Ag 0.125 0.750 0.875
54 Ag 0.125 0.875 0.250
55 Ag 0.250 0.125 0.875
56 Ag 0.250 0.625 0.375
57 Ag 0.375 0.250 0.625
58 Ag 0.375 0.625 0.750
59 Ag 0.500 0.000 0.000
60 Ag 0.500 0.000 0.500
61 Ag 0.500 0.500 0.000
62 Ag 0.500 0.500 0.500
63 Ag 0.625 0.375 0.250
64 Ag 0.625 0.750 0.375
65 Ag 0.750 0.375 0.625
66 Ag 0.750 0.875 0.125
67 Ag 0.875 0.125 0.750
68 Ag 0.875 0.250 0.125
69 Hg 0.125 0.250 0.375
70 Hg 0.125 0.375 0.750
71 Hg 0.250 0.375 0.125
72 Hg 0.250 0.875 0.625
73 Hg 0.375 0.125 0.250
74 Hg 0.375 0.750 0.125
75 Hg 0.625 0.250 0.875
76 Hg 0.625 0.875 0.750
77 Hg 0.750 0.125 0.375
78 Hg 0.750 0.625 0.875
79 Hg 0.875 0.625 0.250
80 Hg 0.875 0.750 0.625